1.
Computed, not measured: a relaxed ScMnHgSb2 crystal at the PBE-GGA level of DFT.

Results
As for the crystal system: tetragonal. The space group is P4/mmm.

abc: 5.5317 4.9154 5.5317
angles: 90.00 90.00 90.00
Closest atoms and distances in Å follow each position.
Fractional coordinates of all 5 atoms:
1 Sc 0.5000 0.5000 0.5000  8 Sb 3.70, 4 Mn 3.91
2 Sb 0.0000 0.0000 0.5000  2 Hg 2.77
3 Sb 0.5000 0.0000 0.0000  2 Hg 2.77
4 Mn 0.0000 0.5000 0.0000  2 Hg 2.46
5 Hg 0.0000 0.0000 0.0000  2 Mn 2.46

=====

2.
Computed, not measured: a relaxed MnSn2HgSb crystal at the PBE-GGA level of DFT.

Results
As for the crystal system: tetragonal. The space group is P4/mmm.

abc: 5.0810 5.0810 4.9898
angles: 90.00 90.00 90.00
Closest atoms and distances in Å follow each position.
Fractional coordinates of all 5 atoms:
1 Sb 0.0000 0.0000 0.5000  2 Mn 2.49
2 Mn 0.0000 0.0000 0.0000  2 Sb 2.49, 4 Sn 2.54
3 Hg 0.5000 0.5000 0.5000  8 Sn 3.56, 4 Sb 3.59
4 Sn 0.0000 0.5000 0.0000  2 Mn 2.54
5 Sn 0.5000 0.0000 0.0000  2 Mn 2.54

=====

3.
Computed, not measured: a relaxed TaMn2HgSb crystal at the PBE-GGA level of DFT.

Results
As for the crystal system: tetragonal. The space group is P4/mmm.

abc: 4.9799 5.2895 4.9799
angles: 90.00 90.00 90.00
Closest atoms and distances in Å follow each position.
Fractional coordinates of all 5 atoms:
1 Sb 0.0000 0.5000 0.0000  2 Ta 2.64
2 Mn 0.0000 0.0000 0.5000  2 Ta 2.49
3 Mn 0.5000 0.0000 0.0000  2 Ta 2.49
4 Hg 0.5000 0.5000 0.5000  4 Sb 3.52, 8 Mn 3.63
5 Ta 0.0000 0.0000 0.0000  4 Mn 2.49, 2 Sb 2.64

=====

4.
Computed, not measured: a relaxed MnHgSbTe2 crystal at the PBE-GGA level of DFT.

Results
As for the crystal system: tetragonal. The space group is P4/mmm. As for the offset from the most stable computed form: 0 meV per atom.

abc: 5.1494 5.1494 5.0053
angles: 90.00 90.00 90.00
Closest atoms and distances in Å follow each position.
Fractional coordinates of all 5 atoms:
1 Sb 0.0000 0.0000 0.5000  2 Mn 2.50
2 Te 0.0000 0.5000 0.0000  2 Mn 2.57
3 Te 0.5000 0.0000 0.0000  2 Mn 2.57
4 Hg 0.5000 0.5000 0.5000  8 Te 3.59, 4 Sb 3.64
5 Mn 0.0000 0.0000 0.0000  2 Sb 2.50, 4 Te 2.57

=====

Number 1: E_form (uncorrected) 0.74 eV per atom. Number 2: E_form (uncorrected) 0.17 eV per atom. Number 3: E_form (uncorrected) 1.03 eV per atom. Number 4: E_form (uncorrected) 0.31 eV per atom.